A relaxed structure of TbHo2AlCd3Ga2. Source: OQMD, functional PBE-GGA.

The structure belongs to space group Amm2 (No. 38); the cell edges are 4.418, 12.575 and 7.242 Å and the angles 90.00°, 90.00° and 90.00°. Symmetry generates all atoms from Tb at (0.000, 0.000, 0.000), Ho at (0.000, 0.217, 0.351), Al at (0.000, 0.000, 0.566), Cd at (0.500, 0.000, 0.321), Cd at (0.500, 0.123, 0.690) and Ga at (0.500, 0.167, 0.067).

The total magnetic moment comes out at 0.01 μB per formula unit. The calculation puts the density at 8.2 Mg/m³. Its final energy is -3.406 eV per atom.